--- i ---
Computed, not measured: a relaxed structure of SrY2 at the GGA-PBE level of DFT.

Computed properties:
The space-group type is C2/m, No. 12.

Structure (POSCAR):
```
SrY2
1.0
6.499 -3.298 1.375
7.263 0.396 1.448
0.400 -0.254 8.666
Sr Y
2 4
direct
0.027 0.027 0.208 Sr
0.973 0.973 0.792 Sr
0.343 0.343 0.530 Y
0.704 0.704 0.859 Y
0.296 0.296 0.141 Y
0.657 0.657 0.470 Y
```


--- ii ---
Computed, not measured: a relaxed structure of SrY2 at the GGA-PBE level of DFT.

Computed properties:
The space-group type is Immm, No. 71.

Structure (POSCAR):
```
SrY2
1.0
-1.847 2.631 5.742
1.847 -2.631 5.742
1.847 2.631 -5.742
Sr Y
1 2
direct
0.000 0.000 0.000 Sr
0.676 0.676 0.000 Y
0.324 0.324 0.000 Y
```


--- iii ---
Computed, not measured: a relaxed structure of SrY2 at the GGA-PBE level of DFT.

Computed properties:
The space-group type is Cmcm, No. 63.

Structure (POSCAR):
```
SrY2
1.0
-7.309 5.308 -5.307
4.233 -6.440 7.096
0.533 4.496 3.763
Sr Y
2 4
direct
0.789 0.211 0.750 Sr
0.211 0.789 0.250 Sr
0.100 0.900 0.750 Y
0.454 0.546 0.750 Y
0.546 0.454 0.250 Y
0.900 0.100 0.250 Y
```


--- iv ---
Computed, not measured: a relaxed structure of SrY2 at the GGA-PBE level of DFT.

Computed properties:
The space-group type is P6_3/mmc, No. 194.

Structure (POSCAR):
```
SrY2
1.0
6.928 0.000 0.000
-3.464 6.000 0.000
0.000 0.000 11.560
Y Sr
8 4
direct
0.000 0.000 0.000 Y
0.000 0.000 0.500 Y
0.837 0.673 0.250 Y
0.163 0.327 0.750 Y
0.327 0.163 0.250 Y
0.837 0.163 0.250 Y
0.163 0.837 0.750 Y
0.673 0.837 0.750 Y
0.333 0.667 0.062 Sr
0.667 0.333 0.562 Sr
0.667 0.333 0.938 Sr
0.333 0.667 0.438 Sr
```


Which one is most stable, and which one is least stable? iii is the most stable of them, while iv is the least stable.


--- i ---
Computed, not measured: a relaxed structure of Sr5Y at the GGA-PBE level of DFT.

Computed properties:
The space-group type is Cmmm, No. 65.

Structure (POSCAR):
```
Sr5Y
1.0
4.425 0.000 0.000
0.000 6.582 0.000
0.000 -3.291 9.893
Y Sr
1 5
direct
0.000 0.000 0.000 Y
0.000 0.670 0.341 Sr
0.000 0.330 0.659 Sr
0.500 0.500 0.000 Sr
0.500 0.153 0.306 Sr
0.500 0.847 0.694 Sr
```


--- ii ---
Computed, not measured: a relaxed structure of Sr5Y at the GGA-PBE level of DFT.

Computed properties:
The space-group type is P-62m, No. 189.

Structure (POSCAR):
```
Sr5Y
1.0
3.558 -6.163 0.000
3.558 6.163 0.000
0.000 0.000 6.717
Sr Y
5 1
direct
0.679 0.000 0.000 Sr
0.321 0.321 0.000 Sr
0.000 0.679 0.000 Sr
0.667 0.333 0.500 Sr
0.333 0.667 0.500 Sr
0.000 0.000 0.500 Y
```


Which one is most stable, and which one is least stable? i is the most stable of them, while ii is the least stable.


--- i ---
Computed, not measured: a relaxed structure of Sr3Y5 at the GGA-PBE level of DFT.

Computed properties:
The space-group type is Cmmm, No. 65.

Structure (POSCAR):
```
Sr3Y5
1.0
5.308 -5.482 0.000
5.308 5.482 0.000
0.000 0.000 5.214
Sr Y
3 5
direct
0.500 0.500 0.000 Sr
0.753 0.753 0.500 Sr
0.247 0.247 0.500 Sr
0.000 0.000 0.000 Y
0.500 0.000 0.000 Y
0.000 0.500 0.000 Y
0.765 0.235 0.500 Y
0.235 0.765 0.500 Y
```


--- ii ---
Computed, not measured: a relaxed structure of Sr3Y5 at the GGA-PBE level of DFT.

Computed properties:
The space-group type is P6_3/mcm, No. 193.

Structure (POSCAR):
```
Sr3Y5
1.0
10.443 0.000 0.000
-5.221 9.044 0.000
0.000 0.000 6.533
Y Sr
10 6
direct
0.333 0.667 0.000 Y
0.667 0.333 0.500 Y
0.667 0.333 0.000 Y
0.333 0.667 0.500 Y
0.208 0.000 0.250 Y
0.792 0.000 0.750 Y
0.000 0.208 0.250 Y
0.792 0.792 0.250 Y
0.208 0.208 0.750 Y
0.000 0.792 0.750 Y
0.603 0.000 0.250 Sr
0.397 0.000 0.750 Sr
0.000 0.603 0.250 Sr
0.397 0.397 0.250 Sr
0.603 0.603 0.750 Sr
0.000 0.397 0.750 Sr
```


Which one is most stable, and which one is least stable? i is the most stable of them, while ii is the least stable.


--- i ---
Computed, not measured: a relaxed structure of SrYZn at the GGA-PBE level of DFT.

Computed properties:
The space-group type is I4mm, No. 107.

Structure (POSCAR):
```
SrYZn
1.0
7.197 -0.007 0.007
6.227 3.608 0.002
0.970 0.265 3.605
Sr Y Zn
1 1 1
direct
0.022 0.022 0.978 Sr
0.294 0.294 0.706 Y
0.684 0.684 0.316 Zn
```


--- ii ---
Computed, not measured: a relaxed structure of SrYZn at the GGA-PBE level of DFT.

Computed properties:
The space-group type is P3m1, No. 156.

Structure (POSCAR):
```
SrYZn
1.0
5.145 0.000 0.000
-2.572 4.456 0.000
0.000 0.000 4.259
Sr Y Zn
1 1 1
direct
0.000 0.000 0.000 Sr
0.667 0.333 0.499 Y
0.333 0.667 0.501 Zn
```


Which one is most stable, and which one is least stable? i is the most stable of them, while ii is the least stable.


--- i ---
Computed, not measured: a relaxed structure of SrY2Zn2 at the GGA-PBE level of DFT.

Computed properties:
The space-group type is P4/mbm, No. 127.

Structure (POSCAR):
```
SrY2Zn2
1.0
8.563 0.000 0.000
0.000 8.563 0.000
0.000 0.000 3.777
Y Sr Zn
4 2 4
direct
0.157 0.657 0.500 Y
0.657 0.843 0.500 Y
0.843 0.343 0.500 Y
0.343 0.157 0.500 Y
0.000 0.000 0.000 Sr
0.500 0.500 0.000 Sr
0.367 0.867 0.000 Zn
0.867 0.633 0.000 Zn
0.633 0.133 0.000 Zn
0.133 0.367 0.000 Zn
```


--- ii ---
Computed, not measured: a relaxed structure of SrY2Zn2 at the GGA-PBE level of DFT.

Computed properties:
The space-group type is I4/mmm, No. 139.

Structure (POSCAR):
```
SrY2Zn2
1.0
-0.322 -4.577 1.574
0.421 -1.598 -4.560
6.272 -3.301 -0.844
Y Sr Zn
2 1 2
direct
0.750 0.250 0.500 Y
0.250 0.750 0.500 Y
0.000 0.000 0.000 Sr
0.399 0.399 0.202 Zn
0.601 0.601 0.798 Zn
```


Which one is most stable, and which one is least stable? i is the most stable of them, while ii is the least stable.


--- i ---
Computed, not measured: a relaxed structure of SrYZn3 at the GGA-PBE level of DFT.

Computed properties:
The space-group type is Pm-3m, No. 221.

Structure (POSCAR):
```
SrYZn3
1.0
5.359 0.000 0.000
0.000 5.359 0.000
0.000 0.000 5.359
Y Sr Zn
1 1 3
direct
0.500 0.500 0.500 Y
0.000 0.000 0.000 Sr
0.000 0.500 0.000 Zn
0.000 0.000 0.500 Zn
0.500 0.000 0.000 Zn
```


--- ii ---
Computed, not measured: a relaxed structure of SrYZn3 at the GGA-PBE level of DFT.

Computed properties:
The space-group type is Pm-3m, No. 221.

Structure (POSCAR):
```
SrYZn3
1.0
-0.301 1.150 5.339
4.002 -3.593 0.999
3.717 3.961 -0.644
Y Sr Zn
1 1 3
direct
0.000 0.000 0.000 Y
0.500 0.500 0.500 Sr
0.000 0.500 0.000 Zn
0.000 0.000 0.500 Zn
0.500 0.000 0.000 Zn
```


Which one is most stable, and which one is least stable? ii is the most stable of them, while i is the least stable.